CsPRuAu | PBE | relaxed

Results
Total moment in μB per formula unit: 0.00
E_form in eV/atom: -0.464
Volume in Å³ per cell: 212.7
Total energy in eV per atom: -5.169
Space-group type: P4/nmm (129)

Lattice parameters (Å, degrees): 4.020 4.020 13.164 90.00 90.00 90.00
Fractional positions:
Cs 0.250 0.250 0.237
Cs 0.750 0.750 0.763
P 0.250 0.250 0.588
P 0.750 0.750 0.412
Ru 0.250 0.750 0.500
Ru 0.750 0.250 0.500
Au 0.250 0.750 0.000
Au 0.750 0.250 0.000